(1)
# Rb2NaCeI6

Crystalline Rb2NaCeI6 at its relaxed geometry (PBEsol, Alexandria via LeMat-Bulk).

Energy relative to the elements, uncorrected ... -1.31 eV/atom
Raw total energy ... -3.37 eV/atom
Total moment ... 1.00 μB per formula unit
SG ... Fm-3m

extended XYZ file:
```
10
Lattice="8.653 0.000 0.000 4.326 7.493 0.000 4.326 2.498 7.065" Properties=species:S:1:pos:R:3 pbc="T T T"
I 8.653 2.504 1.771
I 6.495 6.241 1.771
I 10.810 3.750 5.294
I 8.653 7.487 5.294
I 6.495 3.750 5.294
I 10.810 6.241 1.771
Ce 0.000 0.000 0.000
Rb 4.326 2.498 1.766
Rb 12.979 7.493 5.299
Na 8.653 4.996 3.532
```



(2)
# RbRe2AgGe

Crystalline RbRe2AgGe at its relaxed geometry (PBEsol, Alexandria via LeMat-Bulk).

Raw total energy ... -3.60 eV/atom
Total moment ... 2.80 μB per formula unit
SG ... P4/mmm

extended XYZ file:
```
5
Lattice="4.776 0.000 0.000 0.000 4.776 0.000 0.000 0.000 5.083" Properties=species:S:1:pos:R:3 pbc="T T T"
Ag 0.000 0.000 2.541
Re 0.000 2.388 0.000
Re 2.388 0.000 0.000
Ge 2.388 2.388 2.541
Rb 0.000 0.000 0.000
```



(3)
# CdAgAsRu2

Crystalline CdAgAsRu2 at its relaxed geometry (PBEsol, Alexandria via LeMat-Bulk).

Raw total energy ... -4.07 eV/atom
Total moment ... 3.55 μB per formula unit
SG ... P4/mmm

extended XYZ file:
```
5
Lattice="4.785 0.000 0.000 0.000 4.785 0.000 0.000 0.000 4.826" Properties=species:S:1:pos:R:3 pbc="T T T"
Ru 2.393 0.000 0.000
Ru 0.000 2.393 0.000
Cd 0.000 0.000 2.413
Ag 0.000 0.000 0.000
As 2.393 2.393 2.413
```



(4)
# LaAlCr2

Crystalline LaAlCr2 at its relaxed geometry (PBEsol, Alexandria via LeMat-Bulk).

Raw total energy ... -7.18 eV/atom
Total moment ... 0.00 μB per formula unit
SG ... P4/mmm

extended XYZ file:
```
4
Lattice="-0.932 1.692 2.728 0.598 -2.700 1.879 6.087 1.951 0.868" Properties=species:S:1:pos:R:3 pbc="T T T"
Cr 2.117 0.679 0.302
Cr 3.970 1.273 0.566
Al 2.877 0.472 2.738
La -0.167 -0.504 2.304
```



Which of these has the highest raw total energy?
Rb2NaCeI6



Look up the total moment of the third one.
3.55 μB per formula unit



total moment of number 2 (RbRe2AgGe)?
2.80 μB per formula unit



What is the raw total energy in the second record?
-3.60 eV/atom